1.
AcHoRu2 | PBE-GGA | optimized geometry

## Properties
space group: P4/mmm, No. 123
E above lowest polymorph: 15 meV per atom
total DFT energy (no corrections): -6.88 eV/atom

a b c (Å): 3.534 3.534 7.042
angles (deg): 90.00 90.00 90.00
Fractional coordinates of all 4 atoms:
Ac1 0.000 0.000 0.000
Ho1 0.000 0.000 0.500
Ru1 0.500 0.500 0.266
Ru2 0.500 0.500 0.734

---

2.
Sm2Ho4ErMg | PBE-GGA | optimized geometry

## Properties
space group: P2/m, No. 10
total DFT energy (no corrections): -4.21 eV/atom

a b c (Å): 4.959 4.947 10.037
angles (deg): 90.00 90.05 90.00
Fractional coordinates of all 8 atoms:
Sm1 0.000 0.000 0.000
Sm2 0.500 0.500 0.500
Ho1 0.000 0.500 0.250
Ho2 0.000 0.500 0.750
Ho3 0.500 0.000 0.249
Ho4 0.500 0.000 0.751
Er1 0.000 0.000 0.500
Mg1 0.500 0.500 0.000

---

3.
Rb3AlCl6 | PBE-GGA | optimized geometry

## Properties
space group: Cmc2_1, No. 36
total DFT energy (no corrections): -3.57 eV/atom
formation energy (no corrections): -1799 meV per atom

a b c (Å): 10.320 10.320 7.907
angles (deg): 90.00 90.00 100.79
Fractional coordinates of all 20 atoms:
Rb1 0.072 0.928 0.500
Rb2 0.196 0.397 0.580
Rb3 0.397 0.196 0.080
Rb4 0.603 0.804 0.580
Rb5 0.804 0.603 0.080
Rb6 0.928 0.072 0.000
Al1 0.313 0.687 0.169
Al2 0.687 0.313 0.669
Cl1 0.116 0.620 0.268
Cl2 0.138 0.198 0.283
Cl3 0.198 0.138 0.783
Cl4 0.317 0.683 0.897
Cl5 0.380 0.884 0.268
Cl6 0.439 0.561 0.274
Cl7 0.561 0.439 0.774
Cl8 0.620 0.116 0.768
Cl9 0.683 0.317 0.397
Cl10 0.802 0.862 0.283
Cl11 0.862 0.802 0.783
Cl12 0.884 0.380 0.768